LuScTeC: optimized geometry, PBE.

- total DFT energy (no corrections) (Ry/atom) = -0.4901

abc: 3.656 3.656 13.466
angles: 90.00 90.00 120.00
Fractional coordinates of all 8 atoms:
Lu (0.333, 0.667, 0.406)
Lu (0.667, 0.333, 0.594)
Sc (0.333, 0.667, 0.087)
Sc (0.667, 0.333, 0.913)
Te (0.333, 0.667, 0.759)
Te (0.667, 0.333, 0.241)
C (0.000, 0.000, 0.000)
C (0.000, 0.000, 0.500)